# SrLa2PtBr

An optimized crystal structure of SrLa2PtBr (PBE, the Alexandria database). Values from VASP.

Quantum ESPRESSO input file:
```
&SYSTEM
  ibrav = 0, nat = 5, ntyp = 4
/
ATOMIC_SPECIES
Pt 195.08 Pt.upf
Br 79.90 Br.upf
Sr 87.62 Sr.upf
La 138.91 La.upf
ATOMIC_POSITIONS angstrom
Pt 2.790 2.763 2.790
Br 0.000 0.000 0.000
Sr 0.000 2.763 0.000
La 2.790 0.000 0.000
La 0.000 0.000 2.790
CELL_PARAMETERS angstrom
5.579 0.000 0.000
0.000 5.526 0.000
0.000 0.000 5.579
```

Output
- Energy relative to the elements, uncorrected: -0.7 eV/f.u.
- Density: 6.182 Mg/m³
- Space group: No. 123

=====

# LaTaPtBr2

An optimized crystal structure of LaTaPtBr2 (PBE, the Alexandria database). Values from VASP.

Quantum ESPRESSO input file:
```
&SYSTEM
  ibrav = 0, nat = 5, ntyp = 4
/
ATOMIC_SPECIES
La 138.91 La.upf
Ta 180.95 Ta.upf
Br 79.90 Br.upf
Pt 195.08 Pt.upf
ATOMIC_POSITIONS angstrom
La 0.000 0.000 0.000
Ta -4.754 -0.838 0.637
Br -1.744 1.478 1.706
Pt -1.021 -2.331 0.976
Br -1.989 0.015 -2.045
CELL_PARAMETERS angstrom
-3.977 0.030 -4.091
-2.043 -4.663 1.951
-3.488 2.956 3.413
```

Output
- Energy relative to the elements, uncorrected: 2.8 eV/f.u.
- Density: 6.313 Mg/m³
- Space group: No. 123

=====

# La8TcPt3Br4

An optimized crystal structure of La8TcPt3Br4 (PBE, the Alexandria database). Values from VASP.

Quantum ESPRESSO input file:
```
&SYSTEM
  ibrav = 0, nat = 16, ntyp = 4
/
ATOMIC_SPECIES
La 138.91 La.upf
Pt 195.08 Pt.upf
Br 79.90 Br.upf
Tc 98.00 Tc.upf
ATOMIC_POSITIONS angstrom
La -2.420 -0.589 2.290
Pt -0.887 -4.525 -0.592
Br 3.037 -0.965 2.816
Br 0.000 0.000 0.000
La -2.938 -4.416 1.535
La -3.061 -2.921 5.514
La 0.438 -6.996 0.344
La -2.644 0.988 6.401
Pt -4.356 -0.518 4.521
La 0.855 -3.087 1.231
La 0.732 -1.591 5.210
Br -0.216 1.521 3.964
La 0.214 -5.418 4.455
Pt -1.103 -3.004 3.373
Tc -4.140 -2.039 0.557
Br 3.253 -2.486 -1.149
CELL_PARAMETERS angstrom
-0.432 3.043 7.929
-8.280 -4.078 1.114
6.506 -4.973 -2.297
```

Output
- Energy relative to the elements, uncorrected: -19.3 eV/f.u.
- Density: 7.099 Mg/m³
- Space group: No. 166